DFT (GGA-PBE) results for crystalline ZrCr2I at its relaxed geometry.

Cell: 7.7256 7.7256 6.1920 Å, 51.40 51.40 90.00°
Each line ends with the local moment (μB).
Fractional positions:
1 Zr 0.2500 0.7500 0.5000  -0.19
2 Zr 0.5000 0.5000 0.0000  -0.18
3 I 0.0000 0.0000 0.0000  0.01
4 I 0.7500 0.2500 0.5000  0.01
5 Cr 0.8750 0.8912 0.7500  3.48
6 Cr 0.6412 0.1250 0.2500  3.44
7 Cr 0.3750 0.3588 0.7500  3.47
8 Cr 0.1088 0.6250 0.2500  3.44

Values from the calculation:
Magnetization (μB/f.u.): 7.428
Uncorrected formation energy (eV/atom): 0.855
Theoretical density (g cm⁻³): 6.15
Space-group type: I-42d, No. 122
Relative energy among the computed polymorphs (eV/atom): 0.050

DFT (GGA-PBE) results for crystalline La4ZnBr5 at its relaxed geometry.

Cell: 4.1704 9.0930 9.6874 Å, 102.15 102.43 90.00°
Fractional positions:
1 Br 0.8319 0.1748 0.6638
2 Br 0.1687 0.3254 0.3374
3 Br 0.8313 0.6746 0.6626
4 Br 0.1681 0.8252 0.3362
5 Br 0.5000 0.5000 0.0000
6 La 0.3388 0.9237 0.6776
7 La 0.9979 0.7632 0.9958
8 La 0.0021 0.2368 0.0042
9 La 0.6612 0.0763 0.3224
10 Zn 0.5000 0.0000 0.0000

Values from the calculation:
Magnetization (μB/f.u.): 0.000
Uncorrected formation energy (eV/atom): -1.403
Theoretical density (g cm⁻³): 4.84
Space-group type: C2/m, No. 12
Relative energy among the computed polymorphs (eV/atom): 0.000

DFT (GGA-PBE) results for crystalline FeSn at its relaxed geometry.

Cell: 4.4869 3.1620 5.4146 Å, 90.00 113.94 90.00°
Each line ends with the local moment (μB).
Fractional positions:
1 Sn 0.0000 0.0000 0.0000  -0.07
2 Sn 0.0000 0.5000 0.5000  -0.07
3 Fe 0.5000 0.5000 0.0000  2.31
4 Fe 0.5000 0.0000 0.5000  2.31

Values from the calculation:
Magnetization (μB/f.u.): 2.233
Formation enthalpy at 0 K (eV/atom): 0.370
Theoretical density (g cm⁻³): 8.26
Space-group type: C2/m, No. 12

DFT (GGA-PBE) results for crystalline HfZn2Au2 at its relaxed geometry.

Cell: 7.6603 7.6603 2.9304 Å, 90.00 90.00 90.00°
Fractional positions:
1 Au 0.3216 0.1784 0.5000
2 Au 0.6784 0.8216 0.5000
3 Au 0.8216 0.3216 0.5000
4 Au 0.1784 0.6784 0.5000
5 Zn 0.1201 0.3799 0.0000
6 Zn 0.3799 0.8799 0.0000
7 Zn 0.8799 0.6201 0.0000
8 Zn 0.6201 0.1201 0.0000
9 Hf 0.5000 0.5000 0.0000
10 Hf 0.0000 0.0000 0.0000

Values from the calculation:
Magnetization (μB/f.u.): 0.000
Formation enthalpy at 0 K (eV/atom): -0.210
Theoretical density (g cm⁻³): 13.58
Space-group type: P4/mbm, No. 127
Relative energy among the computed polymorphs (eV/atom): 0.033

DFT (GGA-PBE) results for crystalline Ac12SmGe7 at its relaxed geometry.

Cell: 9.9302 9.9302 9.9302 Å, 107.51 107.51 107.51°
Fractional positions:
1 Ac 0.5413 0.8476 0.6208
2 Ac 0.1524 0.3792 0.4587
3 Ac 0.7741 0.9257 0.3088
4 Ac 0.2259 0.0743 0.6912
5 Ac 0.3088 0.7741 0.9257
6 Ac 0.3792 0.4587 0.1524
7 Ac 0.6912 0.2259 0.0743
8 Ac 0.9257 0.3088 0.7741
9 Ac 0.4587 0.1524 0.3792
10 Ac 0.6208 0.5413 0.8476
11 Ac 0.0743 0.6912 0.2259
12 Ac 0.8476 0.6208 0.5413
13 Sm 0.0000 0.0000 0.0000
14 Ge 0.5000 0.5000 0.5000
15 Ge 0.8860 0.9642 0.6580
16 Ge 0.6580 0.8860 0.9642
17 Ge 0.3420 0.1140 0.0358
18 Ge 0.1140 0.0358 0.3420
19 Ge 0.9642 0.6580 0.8860
20 Ge 0.0358 0.3420 0.1140

Values from the calculation:
Magnetization (μB/f.u.): 0.002
Formation enthalpy at 0 K (eV/atom): -0.414
Theoretical density (g cm⁻³): 6.99
Space-group type: R-3, No. 148

DFT (GGA-PBE) results for crystalline Pr2HoAu at its relaxed geometry.

Cell: 3.7551 3.7551 10.5305 Å, 79.73 79.73 60.00°
Fractional positions:
1 Au 0.0000 0.0000 0.0000
2 Pr 0.7393 0.7393 0.7821
3 Pr 0.2607 0.2607 0.2179
4 Ho 0.5000 0.5000 0.5000

Values from the calculation:
Magnetization (μB/f.u.): 0.000
Formation enthalpy at 0 K (eV/atom): -0.232
Theoretical density (g cm⁻³): 8.49
Space-group type: R-3m, No. 166
Relative energy among the computed polymorphs (eV/atom): 0.098

What is the formula in the second record? La4ZnBr5